1.
MnTc2 | PBE | optimized geometry

a b c (Å): 2.6826 3.7756 8.0359
angles (deg): 90.00 90.00 90.00
With the nearest neighbours (Å) after each atom.
Space group Immm (No. 71)
Symmetry-distinct sites (fractional):
Mn1 0.0000 0.0000 0.0000  10 Tc 2.66-2.71, 2 Mn 2.68
Tc1 0.0000 0.0000 0.3367  7 Tc 2.62-2.70, 5 Mn 2.66-2.71

Output
DFT total energy ... -9.848 eV per atom
DOS(E_F) ... 7.15 states/eV per cell
Excess energy over the best structure of this formula in the dataset ... 118.3 meV/atom
Formation enthalpy at 0 K ... 0.119 eV/atom

2.
CsAlF3 | PBE | optimized geometry

a b c (Å): 3.8552 3.8548 6.1799
angles (deg): 90.00 90.07 90.00
With the nearest neighbours (Å) after each atom.
Space group Pm (No. 6)
Symmetry-distinct sites (fractional):
Cs1 0.0000 0.0000 0.0000  4 F 3.08
Al1 0.4987 0.5000 0.4794  5 F 1.78-1.93
F1 0.4984 0.0000 0.4795  2 Al 1.93
F2 0.4994 0.5000 0.7673  1 Al 1.78
F3 0.9987 0.5000 0.4795  2 Al 1.93

Output
DFT total energy ... -4.770 eV per atom
DOS(E_F) ... 1.17 states/eV per cell
Energy relative to the elements, uncorrected ... -13.64 eV per formula unit

3.
CuTc3B | PBE | optimized geometry

a b c (Å): 4.4313 4.4313 4.4313
angles (deg): 90.00 90.00 90.00
With the nearest neighbours (Å) after each atom.
Space group Pm-3m (No. 221)
Symmetry-distinct sites (fractional):
Cu1 0.0000 0.0000 0.0000  6 Tc 2.22
Tc1 0.0000 0.0000 0.5000  2 Cu 2.22
B1 0.5000 0.5000 0.5000  12 Tc 3.13

Output
DFT total energy ... -5.901 eV per atom
DOS(E_F) ... 5.62 states/eV per cell
Excess energy over the best structure of this formula in the dataset ... 2100.8 meV/atom
Formation enthalpy at 0 K ... 2.474 eV/atom

4.
CoBAs2Se | PBE | optimized geometry

a b c (Å): 4.2655 4.2655 4.4996
angles (deg): 90.00 90.00 90.00
With the nearest neighbours (Å) after each atom.
Space group P4/mmm (No. 123)
Symmetry-distinct sites (fractional):
Co1 0.0000 0.0000 0.0000  4 Se 3.02, 8 As 3.10
B1 0.5000 0.5000 0.5000  4 As 2.13, 2 Se 2.25
As1 0.0000 0.5000 0.5000  2 B 2.13
Se1 0.5000 0.5000 0.0000  2 B 2.25

Output
DFT total energy ... -4.322 eV per atom
DOS(E_F) ... 4.60 states/eV per cell
Excess energy over the best structure of this formula in the dataset ... 0.0 meV/atom
Energy relative to the elements, uncorrected ... 4.96 eV per formula unit

5.
KAgI2F | PBE | optimized geometry

a b c (Å): 5.8292 5.8292 4.4617
angles (deg): 90.00 90.00 90.00
With the nearest neighbours (Å) after each atom.
Space group P4/mmm (No. 123)
Symmetry-distinct sites (fractional):
K1 0.0000 0.0000 0.0000  8 I 3.67
Ag1 0.5000 0.5000 0.5000  2 F 2.23
I1 0.0000 0.5000 0.5000  2 Ag 2.91
F1 0.5000 0.5000 0.0000  2 Ag 2.23

Output
DFT total energy ... -2.773 eV per atom
DOS(E_F) ... 2.54 states/eV per cell
Energy relative to the elements, uncorrected ... -4.94 eV per formula unit

6.
CsPb2 | PBE | optimized geometry

a b c (Å): 3.9554 3.9554 15.3023
angles (deg): 90.00 90.00 90.00
With the nearest neighbours (Å) after each atom.
Space group I4/mmm (No. 139)
Symmetry-distinct sites (fractional):
Cs1 0.0000 0.0000 0.0000  4 Cs 3.96, 8 Pb 4.06
Pb1 0.0000 0.0000 0.3079  4 Pb 3.31

Output
DFT total energy ... -2.858 eV per atom
DOS(E_F) ... 3.59 states/eV per cell
Formation enthalpy at 0 K ... -0.101 eV/atom

7.
Zr2BeC | PBE | optimized geometry

a b c (Å): 3.3541 3.3541 18.7392
angles (deg): 90.00 90.00 120.00
With the nearest neighbours (Å) after each atom.
Space group R-3m (No. 166, hexagonal axes)
Symmetry-distinct sites (fractional):
Zr1 0.0000 0.0000 0.2364  3 C 2.34
Be1 0.0000 0.0000 0.0000  6 Zr 2.66
C1 0.0000 0.0000 0.5000  6 Zr 2.34

Output
DFT total energy ... -7.890 eV per atom
DOS(E_F) ... 0.72 states/eV per cell
Excess energy over the best structure of this formula in the dataset ... 74.0 meV/atom
Formation enthalpy at 0 K ... -0.378 eV/atom

8.
KNdSnTe3 | PBE | optimized geometry

a b c (Å): 9.3125 4.5010 11.9606
angles (deg): 90.00 107.26 90.00
With the nearest neighbours (Å) after each atom.
Space group P2_1/m (No. 11)
Symmetry-distinct sites (fractional):
K1 0.2277 0.2500 0.2702  5 Te 3.55-3.83, 1 Sn 3.78
Nd1 0.3602 0.7500 0.8430  6 Te 3.15-3.23
Sn1 0.1306 0.2500 0.5556  3 Te 2.88-3.01
Te1 0.1008 0.2500 0.7887  1 Sn 2.88, 2 Nd 3.22
Te2 0.3499 0.7500 0.5705  2 Sn 3.01, 1 Nd 3.23
Te3 0.3908 0.7500 0.1127  3 Nd 3.15-3.16

Output
DFT total energy ... -4.219 eV per atom
Energy relative to the elements, uncorrected ... -6.02 eV per formula unit